[1]
Compound: PrCuPt
Source: the Open Quantum Materials Database
Functional: PBE-GGA
Structure: optimized geometry

The structure in CIF format:
```
data_PrCuPt
_chemical_formula_sum 'Pr4 Cu4 Pt4'
_symmetry_space_group_name_H-M 'F -4 3 m'
_symmetry_Int_Tables_number 216
_symmetry_space_group_name_Hall 'F -4 2 3'
_cell_length_a 6.614
_cell_length_b 6.614
_cell_length_c 6.614
_cell_angle_alpha 90.00
_cell_angle_beta 90.00
_cell_angle_gamma 90.00
loop_
_atom_site_label
_atom_site_type_symbol
_atom_site_fract_x
_atom_site_fract_y
_atom_site_fract_z
Pr1 Pr 0.000 0.000 0.000
Cu1 Cu 0.000 0.000 0.500
Pt1 Pt 0.250 0.250 0.750
```


[2]
Compound: Pr2CuPt
Source: the Open Quantum Materials Database
Functional: PBE-GGA
Structure: optimized geometry

The structure in CIF format:
```
data_Pr2CuPt
_chemical_formula_sum 'Pr4 Cu2 Pt2'
_symmetry_space_group_name_H-M 'P 1 21/m 1'
_symmetry_Int_Tables_number 11
_symmetry_space_group_name_Hall '-P 2yb'
_cell_length_a 5.780
_cell_length_b 4.609
_cell_length_c 7.423
_cell_angle_alpha 90.00
_cell_angle_beta 90.30
_cell_angle_gamma 90.00
loop_
_atom_site_label
_atom_site_type_symbol
_atom_site_fract_x
_atom_site_fract_y
_atom_site_fract_z
Pr1 Pr 0.134 0.250 0.310
Pr2 Pr 0.357 0.250 0.824
Cu1 Cu 0.384 0.750 0.531
Pt1 Pt 0.160 0.750 0.047
```


Summary of final energy in eV per atom
-5.35; -5.49
(order as listed above)